The following is a DFT calculation (PBE) of Mg3Ga4Cu after structural relaxation.

Cell lengths 9.3863, 9.3863, 9.3863 Å; angles 161.12, 146.32, 38.89 degrees
Last column: nearest neighbours and their distance in Å.
Positions (direct):
Mg 0.0000 0.0000 0.0000  8 Ga 2.95, 2 Mg 3.08, 4 Cu 3.12
Mg 0.2628 0.7628 0.5000  6 Ga 2.87-2.92, 6 Mg 3.08-3.16
Mg 0.7372 0.2372 0.5000  6 Ga 2.87-2.92, 6 Mg 3.08-3.16
Ga 0.1291 0.3798 0.7492  1 Cu 2.53, 2 Ga 2.71-2.73
Ga 0.3694 0.6202 0.7492  1 Cu 2.53, 2 Ga 2.71-2.73
Ga 0.6306 0.3798 0.2508  1 Cu 2.53, 2 Ga 2.71-2.73
Ga 0.8709 0.6202 0.2508  1 Cu 2.53, 2 Ga 2.71-2.73
Cu 0.5000 0.5000 0.0000  4 Ga 2.53

Values from the calculation:
VASP energy: -2.7045 eV/atom
Energy relative to the elements: -81.1 meV per atom
Space group: Immm
DOS(E_F): 0.271 states/eV/atom

=====

The following is a DFT calculation (PBE) of NaCd2AgI6 after structural relaxation.

Cell lengths 10.5489, 10.5489, 8.1135 Å; angles 104.08, 104.08, 85.56 degrees
Last column: nearest neighbours and their distance in Å.
Positions (direct):
Na 0.1158 0.8842 0.7500  6 I 3.17-3.49
Na 0.8842 0.1158 0.2500  6 I 3.17-3.49
Cd 0.2316 0.3903 0.7641  4 I 2.83-2.87
Cd 0.3903 0.2316 0.2641  4 I 2.83-2.87
Cd 0.6097 0.7684 0.7359  4 I 2.83-2.87
Cd 0.7684 0.6097 0.2359  4 I 2.83-2.87
Ag 0.2097 0.7903 0.2500  4 I 2.81-3.00
Ag 0.7903 0.2097 0.7500  4 I 2.81-3.00
I 0.0460 0.1872 0.6435  1 Cd 2.84, 1 Ag 3.00, 1 Na 3.17
I 0.1196 0.6303 0.9145  1 Ag 2.81, 1 Cd 2.83
I 0.1872 0.0460 0.1435  1 Cd 2.84, 1 Ag 3.00, 1 Na 3.17
I 0.2945 0.4564 0.4712  2 Cd 2.83-2.87
I 0.3697 0.8804 0.5855  1 Ag 2.81, 1 Cd 2.83
I 0.4564 0.2945 0.9712  2 Cd 2.83-2.87
I 0.5436 0.7055 0.0288  2 Cd 2.83-2.87
I 0.6303 0.1196 0.4145  1 Ag 2.81, 1 Cd 2.83
I 0.7055 0.5436 0.5288  2 Cd 2.83-2.87
I 0.8128 0.9540 0.8565  1 Cd 2.84, 1 Ag 3.00, 1 Na 3.17
I 0.8804 0.3697 0.0855  1 Ag 2.81, 1 Cd 2.83
I 0.9540 0.8128 0.3565  1 Cd 2.84, 1 Ag 3.00, 1 Na 3.17

Values from the calculation:
VASP energy: -2.1608 eV/atom
Space group: C2/c
DOS(E_F): 0.000 states/eV/atom

=====

The following is a DFT calculation (PBE) of ThAlCu after structural relaxation.

Cell lengths 6.1888, 6.1888, 6.1888 Å; angles 149.67, 149.67, 43.43 degrees
Last column: nearest neighbours and their distance in Å.
Positions (direct):
Th 0.0000 0.0000 0.0000  5 Cu 3.17-3.55, 4 Th 3.24, 5 Al 3.27-3.42
Al 0.7027 0.7027 0.0000  4 Cu 2.59
Cu 0.3088 0.3088 0.0000  4 Al 2.59

Values from the calculation:
VASP energy: -5.2566 eV/atom
Energy relative to the elements: -170.4 meV per atom
Space group: I4mm
DOS(E_F): 0.572 states/eV/atom

=====

The following is a DFT calculation (PBE) of Sr14LiCa after structural relaxation.

Cell lengths 8.4594, 8.4594, 11.6555 Å; angles 90.00, 90.00, 90.00 degrees
Last column: nearest neighbours and their distance in Å.
Positions (direct):
Sr 0.0000 0.0000 0.0000  12 Sr 4.23-4.24
Sr 0.0000 0.5000 0.0000  12 Sr 4.23-4.25
Sr 0.0000 0.5000 0.5000  8 Sr 4.10, 2 Li 4.23, 2 Ca 4.23
Sr 0.2486 0.2486 0.2594  1 Li 4.09, 10 Sr 4.10-4.26, 1 Ca 4.11
Sr 0.2486 0.2486 0.7406  1 Li 4.09, 10 Sr 4.10-4.26, 1 Ca 4.11
Sr 0.2486 0.7514 0.2594  1 Li 4.09, 10 Sr 4.10-4.26, 1 Ca 4.11
Sr 0.2486 0.7514 0.7406  1 Li 4.09, 10 Sr 4.10-4.26, 1 Ca 4.11
Sr 0.5000 0.0000 0.0000  12 Sr 4.23-4.25
Sr 0.5000 0.0000 0.5000  8 Sr 4.10, 2 Li 4.23, 2 Ca 4.23
Sr 0.5000 0.5000 0.0000  12 Sr 4.23-4.26
Sr 0.7514 0.2486 0.2594  1 Li 4.09, 10 Sr 4.10-4.26, 1 Ca 4.11
Sr 0.7514 0.2486 0.7406  1 Li 4.09, 10 Sr 4.10-4.26, 1 Ca 4.11
Sr 0.7514 0.7514 0.2594  1 Li 4.09, 10 Sr 4.10-4.26, 1 Ca 4.11
Sr 0.7514 0.7514 0.7406  1 Li 4.09, 10 Sr 4.10-4.26, 1 Ca 4.11
Li 0.0000 0.0000 0.5000  12 Sr 4.09-4.23
Ca 0.5000 0.5000 0.5000  12 Sr 4.11-4.23

Values from the calculation:
VASP energy: -1.6947 eV/atom
Energy relative to the elements: 21.6 meV per atom
Space group: P4/mmm
DOS(E_F): 0.941 states/eV/atom

=====

- Which formula does entry 1 have?
  Mg3Ga4Cu